Tl5AuSe4 | PBE-GGA | relaxed

Structure (extended XYZ):
```
20
Lattice="8.6976 0.0000 0.0000 0.0000 9.8414 0.0000 0.0000 0.0000 8.2219" Properties=species:S:1:pos:R:3 pbc="T T T"
Tl 0.2116 0.5902 1.9372
Tl 0.2116 4.3305 1.9372
Tl 2.1744 7.3811 3.1814
Tl 4.1372 0.5902 1.9372
Tl 4.1372 4.3305 1.9372
Tl 4.5604 5.5110 6.2847
Tl 4.5604 9.2512 6.2847
Tl 6.5232 2.4604 5.0405
Tl 8.4860 5.5110 6.2847
Tl 8.4860 9.2512 6.2847
Au 2.1744 2.4604 6.6835
Au 6.5232 7.3811 1.5384
Se 0.2518 7.3811 1.1203
Se 2.1744 5.0119 4.4323
Se 2.1744 9.7502 4.4323
Se 4.0970 7.3811 1.1203
Se 4.6006 2.4604 7.1016
Se 6.5232 0.0912 3.7896
Se 6.5232 4.8295 3.7896
Se 8.4458 2.4604 7.1016
```

- total moment (μB per atom) = 0.000
- SG = Pmmn
- energy relative to the elements, uncorrected (kJ/mol of formula units) = -263
- calculated density (g cm⁻³) = 7.24
- N(E_F) (states/eV/cell) = 0.3